Entry 1:
VASP calculation (PBE-GGA) on crystalline Na2YZn at its relaxed geometry.

Cell: 5.2469 5.2469 5.2469 Å, 60.00 60.00 60.00°
Fractional coordinates of all 4 atoms:
Na 0.0000 0.0000 0.0000
Na 0.2500 0.2500 0.2500
Y 0.7500 0.7500 0.7500
Zn 0.5000 0.5000 0.5000

Total energy, eV per atom: -2.40

***

Entry 2:
VASP calculation (PBE-GGA) on crystalline NaZn at its relaxed geometry.

Cell: 5.6841 4.8074 9.3655 Å, 90.00 90.02 90.00°
Fractional coordinates of all 12 atoms:
Na 0.0000 0.0000 0.0000
Na 0.1344 0.0000 0.3223
Na 0.2750 0.5000 0.5340
Na 0.4998 0.0000 0.7945
Na 0.6348 0.0000 0.4727
Na 0.7744 0.5000 0.2606
Zn 0.0203 0.0000 0.6769
Zn 0.1571 0.5000 0.8454
Zn 0.2975 0.5000 0.1196
Zn 0.5199 0.0000 0.1179
Zn 0.6562 0.5000 0.9481
Zn 0.7974 0.5000 0.6737

Total energy, eV per atom: -1.22

***

Entry 3:
VASP calculation (PBE-GGA) on crystalline NaZn at its relaxed geometry.

Cell: 4.7790 12.4026 5.8271 Å, 90.00 90.00 90.00°
Fractional coordinates of all 16 atoms:
Na 0.2500 0.0856 0.0854
Na 0.2500 0.2500 0.6058
Na 0.2500 0.4144 0.0854
Na 0.2500 0.7500 0.7855
Na 0.7500 0.2500 0.2145
Na 0.7500 0.5856 0.9146
Na 0.7500 0.7500 0.3942
Na 0.7500 0.9144 0.9146
Zn 0.2500 0.0091 0.5988
Zn 0.2500 0.4909 0.5988
Zn 0.2500 0.6372 0.2811
Zn 0.2500 0.8628 0.2811
Zn 0.7500 0.1372 0.7189
Zn 0.7500 0.3628 0.7189
Zn 0.7500 0.5091 0.4012
Zn 0.7500 0.9909 0.4012

Total energy, eV per atom: -1.24

***

Entry 4:
VASP calculation (PBE-GGA) on crystalline NaZn at its relaxed geometry.

Cell: 4.2561 4.2561 4.2561 Å, 60.00 60.00 60.00°
Fractional coordinates of all 2 atoms:
Na 0.0000 0.0000 0.0000
Zn 0.5000 0.5000 0.5000

Total energy, eV per atom: -1.00

***

Entry 5:
VASP calculation (PBE-GGA) on crystalline NaZn at its relaxed geometry.

Cell: 3.1884 3.1884 5.1037 Å, 90.00 90.00 120.00°
Fractional coordinates of all 2 atoms:
Na 0.0000 0.0000 0.0000
Zn 0.6667 0.3333 0.5000

Total energy, eV per atom: -1.14

***

Entry 6:
VASP calculation (PBE-GGA) on crystalline NaZn at its relaxed geometry.

Cell: 5.6984 5.8828 6.0294 Å, 104.67 102.93 93.37°
Fractional coordinates of all 8 atoms:
Na 0.1452 0.2943 0.1546
Na 0.2460 0.8440 0.5116
Na 0.7540 0.1560 0.4884
Na 0.8548 0.7057 0.8454
Zn 0.3175 0.4114 0.7174
Zn 0.4101 0.8146 0.0380
Zn 0.5899 0.1854 0.9620
Zn 0.6825 0.5886 0.2826

Total energy, eV per atom: -1.26

***

no.,density (g/cm³)
1,3.26
2,3.44
3,3.40
4,2.69
5,3.27
6,3.10